# 1
Compound: LaHgAu2Se
Source: Alexandria via LeMat-Bulk
Functional: PBE-GGA
Structure: optimized geometry

Unit cell a=5.144 b=5.170 c=5.144 alpha=90.00 beta=90.00 gamma=90.00
Fractional positions:
Au 0.500 0.000 0.000
Au 0.000 0.000 0.500
Hg 0.000 0.500 0.000
Se 0.000 0.000 0.000
La 0.500 0.500 0.500

Output
Density of states at the Fermi level in states/eV/f.u.: 7.7
Raw formation energy in eV per formula unit: 0.12


# 2
Compound: NaGe2PtI
Source: Alexandria via LeMat-Bulk
Functional: PBE-GGA
Structure: optimized geometry

Unit cell a=4.757 b=6.164 c=4.757 alpha=90.00 beta=90.00 gamma=90.00
Fractional positions:
Ge 0.500 0.000 0.000
Ge 0.000 0.000 0.500
Pt 0.000 0.000 0.000
I 0.500 0.500 0.500
Na 0.000 0.500 0.000

Output
Density of states at the Fermi level in states/eV/f.u.: 2.8
Raw formation energy in eV per formula unit: -1.08


# 3
Compound: Na2HfFePd
Source: Alexandria via LeMat-Bulk
Functional: PBE-GGA
Structure: optimized geometry

Unit cell a=5.714 b=4.237 c=5.714 alpha=90.00 beta=90.00 gamma=90.00
Fractional positions:
Na 0.000 0.000 0.500
Na 0.500 0.000 0.000
Pd 0.500 0.500 0.500
Hf 0.000 0.000 0.000
Fe 0.000 0.500 0.000

Output
Density of states at the Fermi level in states/eV/f.u.: 3.6
Energy of formation in eV/atom: 1.45


# 4
Compound: LaGePRh6
Source: Alexandria via LeMat-Bulk
Functional: PBE-GGA
Structure: optimized geometry

Unit cell a=6.192 b=9.035 c=7.890 alpha=124.93 beta=113.10 gamma=90.00
Fractional positions:
Rh 0.107 0.357 0.740
Rh 0.560 0.310 0.120
Rh 0.633 0.882 0.740
Rh 0.916 0.166 0.831
Rh 0.367 0.643 0.260
Rh 0.893 0.643 0.260
Rh 0.084 0.834 0.169
Rh 0.107 0.882 0.740
Rh 0.440 0.690 0.880
Rh 0.633 0.357 0.740
Rh 0.367 0.118 0.260
Rh 0.893 0.118 0.260
P 0.500 0.000 0.000
P 0.500 0.500 0.000
La 0.182 0.432 0.364
La 0.818 0.568 0.636
Ge 0.500 0.000 0.500
Ge 0.000 0.000 0.500

Output
Density of states at the Fermi level in states/eV/f.u.: 7.4
Energy of formation in eV/atom: -0.28


# 5
Compound: LiAg2As
Source: Alexandria via LeMat-Bulk
Functional: PBE-GGA
Structure: optimized geometry

Unit cell a=2.903 b=2.903 c=8.216 alpha=90.00 beta=90.00 gamma=90.00
Fractional positions:
Ag 0.000 0.000 0.988
Ag 0.500 0.500 0.247
As 0.000 0.000 0.520
Li 0.500 0.500 0.745

Output
Density of states at the Fermi level in states/eV/f.u.: 0.4
Energy of formation in eV/atom: -0.10


# 6
Compound: BaGe3IrPt
Source: Alexandria via LeMat-Bulk
Functional: PBE-GGA
Structure: optimized geometry

Unit cell a=6.504 b=6.660 c=7.392 alpha=116.78 beta=90.00 gamma=90.00
Fractional positions:
Ge 0.500 0.272 0.000
Ge 0.000 0.728 0.000
Ge 0.750 0.760 0.521
Ge 0.500 0.728 0.000
Ge 0.250 0.240 0.479
Ge 0.000 0.272 0.000
Ir 0.250 0.413 0.826
Ir 0.750 0.587 0.174
Ba 0.750 0.233 0.465
Ba 0.250 0.767 0.535
Pt 0.750 0.937 0.874
Pt 0.250 0.063 0.126

Output
Density of states at the Fermi level in states/eV/f.u.: 1.9
Energy of formation in eV/atom: -0.46


# 7
Compound: Se2IBr8
Source: Alexandria via LeMat-Bulk
Functional: PBE-GGA
Structure: optimized geometry

Unit cell a=7.679 b=7.808 c=7.808 alpha=89.70 beta=90.84 gamma=90.84
Fractional positions:
Br 0.704 0.331 0.331
Br 0.782 0.784 0.335
Br 0.783 0.808 0.808
Br 0.218 0.216 0.665
Br 0.782 0.335 0.784
Br 0.217 0.192 0.192
Br 0.218 0.665 0.216
Br 0.296 0.669 0.669
Se 0.811 0.533 0.533
Se 0.189 0.467 0.467
I 0.000 0.000 0.000

Output
Density of states at the Fermi level in states/eV/f.u.: 3.6
Raw formation energy in eV per formula unit: -0.05


# 8
Compound: Sm2Dy3Bi3
Source: Alexandria via LeMat-Bulk
Functional: PBE-GGA
Structure: optimized geometry

Unit cell a=6.419 b=9.287 c=9.287 alpha=120.00 beta=90.00 gamma=90.00
Fractional positions:
Dy 0.250 0.756 0.000
Dy 0.750 0.756 0.756
Dy 0.250 0.244 0.244
Dy 0.250 0.000 0.756
Dy 0.750 0.000 0.244
Dy 0.750 0.244 0.000
Bi 0.750 0.615 0.000
Bi 0.250 0.385 0.000
Bi 0.750 0.385 0.385
Bi 0.250 0.000 0.385
Bi 0.750 0.000 0.615
Bi 0.250 0.615 0.615
Sm 0.000 0.333 0.667
Sm 0.500 0.667 0.333
Sm 0.500 0.333 0.667
Sm 0.000 0.667 0.333

Output
Density of states at the Fermi level in states/eV/f.u.: 7.5
Energy of formation in eV/atom: -0.71


# 9
Compound: Zn2IrRh
Source: Alexandria via LeMat-Bulk
Functional: PBE-GGA
Structure: optimized geometry

Unit cell a=4.295 b=4.295 c=3.015 alpha=90.00 beta=90.00 gamma=89.98
Fractional positions:
Rh 0.000 0.500 0.500
Zn 0.500 0.500 0.000
Zn 0.000 0.000 0.000
Ir 0.500 0.000 0.500

Output
Density of states at the Fermi level in states/eV/f.u.: 4.5
Energy of formation in eV/atom: -0.25


# 10
Compound: Sm3TlCo
Source: Alexandria via LeMat-Bulk
Functional: PBE-GGA
Structure: optimized geometry

Unit cell a=5.238 b=5.238 c=5.238 alpha=90.00 beta=90.00 gamma=90.00
Fractional positions:
Sm 0.500 0.000 0.000
Sm 0.000 0.500 0.000
Sm 0.000 0.000 0.500
Tl 0.500 0.500 0.500
Co 0.000 0.000 0.000

Output
Density of states at the Fermi level in states/eV/f.u.: 5.9
Energy above the most stable polymorph in this dataset in meV per atom: 52
Energy of formation in eV/atom: -0.12


# 11
Compound: Zn2Ag9Sn
Source: Alexandria via LeMat-Bulk
Functional: PBE-GGA
Structure: optimized geometry

Unit cell a=4.173 b=4.173 c=12.308 alpha=90.00 beta=90.00 gamma=90.00
Fractional positions:
Ag 0.500 0.000 0.822
Ag 0.000 0.500 0.178
Ag 0.500 0.500 0.338
Ag 0.500 0.000 0.500
Ag 0.500 0.500 0.000
Ag 0.500 0.000 0.178
Ag 0.000 0.500 0.500
Ag 0.500 0.500 0.662
Ag 0.000 0.500 0.822
Sn 0.000 0.000 0.000
Zn 0.000 0.000 0.339
Zn 0.000 0.000 0.661

Output
Density of states at the Fermi level in states/eV/f.u.: 5.0
Energy of formation in eV/atom: 0.01


# 12
Compound: AcLaTl4
Source: Alexandria via LeMat-Bulk
Functional: PBE-GGA
Structure: optimized geometry

Unit cell a=5.182 b=5.160 c=9.757 alpha=74.64 beta=74.21 gamma=119.86
Fractional positions:
Tl 0.154 0.483 0.679
Tl 0.849 0.511 0.318
Tl 0.374 0.036 0.793
Tl 0.629 0.959 0.204
La 0.001 0.997 0.498
Ac 0.501 0.497 0.998

Output
Density of states at the Fermi level in states/eV/f.u.: 3.7
Energy above the most stable polymorph in this dataset in meV per atom: 0
Energy of formation in eV/atom: -0.33


# 13
Compound: Hf6Ga3Tc
Source: Alexandria via LeMat-Bulk
Functional: PBE-GGA
Structure: optimized geometry

Unit cell a=5.368 b=7.770 c=9.773 alpha=90.00 beta=89.88 gamma=90.00
Fractional positions:
Ga 0.000 0.000 0.500
Ga 0.611 0.873 0.751
Ga 0.500 0.500 0.000
Ga 0.389 0.127 0.249
Ga 0.889 0.373 0.749
Ga 0.111 0.627 0.251
Hf 0.916 0.671 0.572
Hf 0.917 0.675 0.926
Hf 0.084 0.329 0.428
Hf 0.861 0.970 0.243
Hf 0.361 0.530 0.743
Hf 0.417 0.825 0.426
Hf 0.639 0.470 0.257
Hf 0.083 0.325 0.074
Hf 0.139 0.030 0.757
Hf 0.583 0.175 0.574
Hf 0.584 0.171 0.928
Hf 0.416 0.829 0.072
Tc 0.500 0.500 0.500
Tc 0.000 0.000 0.000

Output
Density of states at the Fermi level in states/eV/f.u.: 9.3
Energy of formation in eV/atom: -0.18


# 14
Compound: TiNi3
Source: Alexandria via LeMat-Bulk
Functional: PBE-GGA
Structure: optimized geometry

Unit cell a=5.105 b=5.105 c=8.335 alpha=90.00 beta=90.00 gamma=120.00
Fractional positions:
Ni 0.657 0.828 0.750
Ni 0.343 0.172 0.250
Ni 0.828 0.657 0.250
Ni 0.000 0.500 0.500
Ni 0.172 0.343 0.750
Ni 0.828 0.172 0.250
Ni 0.500 0.500 0.000
Ni 0.000 0.500 0.000
Ni 0.500 0.000 0.000
Ni 0.500 0.000 0.500
Ni 0.500 0.500 0.500
Ni 0.172 0.828 0.750
Ti 0.333 0.667 0.250
Ti 0.000 0.000 0.000
Ti 0.667 0.333 0.750
Ti 0.000 0.000 0.500

Output
Density of states at the Fermi level in states/eV/f.u.: 0.5
Energy of formation in eV/atom: -0.48


# 15
Compound: CsRbTlPb
Source: Alexandria via LeMat-Bulk
Functional: PBE-GGA
Structure: optimized geometry

Unit cell a=5.608 b=5.608 c=7.999 alpha=90.09 beta=110.52 gamma=119.86
Fractional positions:
Rb 0.372 0.051 0.422
Cs 0.964 0.846 0.811
Tl 0.817 0.274 0.091
Pb 0.539 0.634 0.172

Output
Density of states at the Fermi level in states/eV/f.u.: 3.3
Energy above the most stable polymorph in this dataset in meV per atom: 0
Energy of formation in eV/atom: -0.07


# 16
Compound: ZrReAg2
Source: Alexandria via LeMat-Bulk
Functional: PBE-GGA
Structure: optimized geometry

Unit cell a=5.271 b=5.669 c=2.778 alpha=80.94 beta=79.15 gamma=114.76
Fractional positions:
Ag 0.500 0.000 0.500
Ag 0.000 0.000 0.000
Zr 0.500 0.500 0.000
Re 0.000 0.500 0.500

Output
Density of states at the Fermi level in states/eV/f.u.: 2.6
Energy above the most stable polymorph in this dataset in meV per atom: 129
Energy of formation in eV/atom: 0.34


# 17
Compound: Li6Zr6HCl18
Source: Alexandria via LeMat-Bulk
Functional: PBE-GGA
Structure: optimized geometry

Unit cell a=9.843 b=9.843 c=9.843 alpha=111.21 beta=111.21 gamma=111.21
Fractional positions:
Cl 0.690 0.532 0.791
Cl 0.791 0.690 0.532
Cl 0.845 0.254 0.898
Cl 0.557 0.372 0.071
Cl 0.310 0.468 0.209
Cl 0.155 0.746 0.102
Cl 0.898 0.845 0.254
Cl 0.628 0.929 0.443
Cl 0.102 0.155 0.746
Cl 0.468 0.209 0.310
Cl 0.746 0.102 0.155
Cl 0.532 0.791 0.690
Cl 0.254 0.898 0.845
Cl 0.929 0.443 0.628
Cl 0.209 0.310 0.468
Cl 0.443 0.628 0.929
Cl 0.071 0.557 0.372
Cl 0.372 0.071 0.557
Li 0.786 0.410 0.334
Li 0.214 0.590 0.666
Li 0.334 0.786 0.410
Li 0.666 0.214 0.590
Li 0.410 0.334 0.786
Li 0.590 0.666 0.214
Zr 0.250 0.161 0.025
Zr 0.161 0.025 0.250
Zr 0.975 0.750 0.839
Zr 0.750 0.839 0.975
Zr 0.025 0.250 0.161
Zr 0.839 0.975 0.750
H 0.000 0.000 0.000

Output
Density of states at the Fermi level in states/eV/f.u.: 17.1


# 18
Compound: Ba2IrPt
Source: Alexandria via LeMat-Bulk
Functional: PBE-GGA
Structure: optimized geometry

Unit cell a=3.717 b=3.717 c=9.331 alpha=90.00 beta=90.00 gamma=90.01
Fractional positions:
Ba 0.500 0.500 0.345
Ba 0.000 0.000 0.902
Ir 0.000 0.000 0.592
Pt 0.500 0.500 0.661

Output
Density of states at the Fermi level in states/eV/f.u.: 6.0
Energy of formation in eV/atom: 0.02


# 19
Compound: ScGaP2O
Source: Alexandria via LeMat-Bulk
Functional: PBE-GGA
Structure: optimized geometry

Unit cell a=4.904 b=4.904 c=3.602 alpha=90.00 beta=90.00 gamma=90.00
Fractional positions:
O 0.000 0.000 0.500
P 0.000 0.500 0.000
P 0.500 0.000 0.000
Ga 0.000 0.000 0.000
Sc 0.500 0.500 0.500

Output
Density of states at the Fermi level in states/eV/f.u.: 4.5
Energy above the most stable polymorph in this dataset in meV per atom: 37
Raw formation energy in eV per formula unit: -1.20


# 20
Compound: CaGaBr
Source: Alexandria via LeMat-Bulk
Functional: PBE-GGA
Structure: optimized geometry

Unit cell a=3.884 b=3.884 c=14.499 alpha=90.00 beta=90.00 gamma=120.00
Fractional positions:
Ca 0.059 0.117 0.343
Ca 0.059 0.117 0.657
Br 0.725 0.450 0.784
Br 0.725 0.450 0.216
Ga 0.707 0.414 0.000
Ga 0.392 0.784 0.500

Output
Density of states at the Fermi level in states/eV/f.u.: 1.9
Raw formation energy in eV per formula unit: -2.48


Record-wise electronic total energy values, in eV/atom: -3.03 -3.85 -3.80 -6.84 -3.17 -5.57 -2.00 -5.07 -4.94 -4.85 -2.68 -3.42 -8.09 -6.79 -2.04 -6.34 -4.86 -4.67 -5.27 -3.06
Record-wise spin magnetization values, in μB/cell: 0.0 0.0 0.0 0.0 0.0 0.0 0.0 0.9 0.0 0.0 0.0 0.0 0.0 0.0 0.0 0.0 1.2 0.0 0.0 0.0